Record 1
Below is a relaxed Bi2PdRh crystal, with properties calculated at the PBE level.

Summary:
- SG = I-42d (122)
- raw total energy (eV/atom) = -4.91
- formation energy from the elements (eV per atom) = 0.163

Cell: 6.882 6.882 6.635 Å, 58.76 58.76 90.00°
Sites, in units of the cell vectors:
Bi (0.375, 0.383, 0.750)
Bi (0.617, 0.125, 0.250)
Rh (0.250, 0.750, 0.500)
Bi (0.133, 0.625, 0.250)
Pd (0.750, 0.250, 0.500)
Pd (0.000, 0.000, 0.000)
Rh (0.500, 0.500, 0.000)
Bi (0.875, 0.867, 0.750)

=====

Record 2
Below is a relaxed Tb2Pm2Sb2H crystal, with properties calculated at the PBE level.

Summary:
- SG = I4/mmm (139)
- raw total energy (eV/atom) = -5.17

Cell: 4.540 4.540 9.177 Å, 104.32 104.32 90.00°
Sites, in units of the cell vectors:
Pm (0.178, 0.178, 0.356)
Sb (0.634, 0.634, 0.269)
Tb (0.500, 0.000, 0.000)
Tb (0.000, 0.500, 0.000)
Sb (0.366, 0.366, 0.731)
H (0.000, 0.000, 0.000)
Pm (0.822, 0.822, 0.644)

=====

Record 3
Below is a relaxed Li2AlPd2 crystal, with properties calculated at the PBE level.

Summary:
- SG = P4/mbm (127)
- raw total energy (eV/atom) = -4.07
- formation energy from the elements (eV per atom) = -0.474

Cell: 6.808 6.808 2.898 Å, 90.00 90.00 90.00°
Sites, in units of the cell vectors:
Al (0.000, 0.000, 0.000)
Al (0.500, 0.500, 0.000)
Li (0.113, 0.387, 0.000)
Pd (0.691, 0.809, 0.500)
Pd (0.191, 0.691, 0.500)
Li (0.887, 0.613, 0.000)
Pd (0.309, 0.191, 0.500)
Li (0.387, 0.887, 0.000)
Li (0.613, 0.113, 0.000)
Pd (0.809, 0.309, 0.500)